First-principles (GGA-PBE) data for a relaxed structure of MgSnHSe, as listed in Alexandria via LeMat-Bulk.

Calculated values
E above lowest polymorph	0.107	eV per atom
crystal system	monoclinic
total magnetic moment	0.00	μB/atom

Cell: 6.1951 3.5810 7.5966 Å, 90.00 105.56 90.00°
Space group Cm (No. 8)
Symmetry-distinct sites (fractional):
Mg 0.0000 0.0000 0.0000 (multiplicity 2)
Sn 0.3278 0.5000 0.4815 (multiplicity 2)
H 0.1993 0.5000 0.0986 (multiplicity 2)
Se 0.2554 0.0000 0.7635 (multiplicity 2)